No. 1
A plane-wave DFT calculation with GGA-PBE was carried out for an optimized crystal structure of Ca2CeUN4.

POSCAR file:
```
Ca2CeUN4
1.0
6.0468 0.0000 0.0000
0.0000 3.5463 0.0000
-2.0353 0.0000 5.7919
Ca Ce U N
2 1 1 4
direct
0.0000 0.0000 0.0000
0.0000 0.5000 0.5000
0.5000 0.0000 0.5000
0.5000 0.5000 0.0000
0.2827 0.0000 0.7733
0.2853 0.5000 0.2354
0.7147 0.5000 0.7646
0.7173 0.0000 0.2267
```

Computed properties:
Total moment   1.953 μB per formula unit
Theoretical density   6.9 g/cm3
SG   P2/m, No. 10
Uncorrected energy   -65.12 eV/cell

No. 2
A plane-wave DFT calculation with GGA-PBE was carried out for an optimized crystal structure of NaInCoGe2.

POSCAR file:
```
NaInCoGe2
1.0
4.6167 0.0000 0.0000
0.0000 4.6167 0.0000
0.0000 0.0000 5.0100
Na In Co Ge
1 1 1 2
direct
0.0000 0.0000 0.0000
0.5000 0.5000 0.0000
0.5000 0.5000 0.5000
0.0000 0.5000 0.5000
0.5000 0.0000 0.5000
```

Computed properties:
Total moment   0.000 μB per formula unit
Theoretical density   5.3 g/cm3
SG   P4/mmm, No. 123
Calculated formation energy   58 meV/atom

No. 3
A plane-wave DFT calculation with GGA-PBE was carried out for an optimized crystal structure of SiMoBr.

POSCAR file:
```
SiMoBr
1.0
6.1916 0.0000 0.0000
0.0000 6.1916 0.0000
0.0000 0.0000 6.1916
Si Mo Br
4 4 4
direct
0.0000 0.0000 0.0000
0.0000 0.5000 0.5000
0.5000 0.0000 0.5000
0.5000 0.5000 0.0000
0.2500 0.2500 0.7500
0.2500 0.7500 0.2500
0.7500 0.2500 0.2500
0.7500 0.7500 0.7500
0.2500 0.2500 0.2500
0.2500 0.7500 0.7500
0.7500 0.2500 0.7500
0.7500 0.7500 0.2500
```

Computed properties:
Total moment   0.781 μB per formula unit
Theoretical density   5.7 g/cm3
SG   F-43m, No. 216
Distance to the lowest polymorph of the same formula   1421 meV per atom

No. 4
A plane-wave DFT calculation with GGA-PBE was carried out for an optimized crystal structure of BeTcSb.

POSCAR file:
```
BeTcSb
1.0
2.4833 -6.1375 0.0000
2.4833 6.1375 0.0000
0.0000 0.0000 6.3914
Be Tc Sb
4 4 4
direct
0.2000 0.3000 0.2500
0.3000 0.2000 0.7500
0.7000 0.8000 0.2500
0.8000 0.7000 0.7500
0.0956 0.9044 0.4146
0.4044 0.5956 0.9146
0.5956 0.4044 0.0854
0.9044 0.0956 0.5854
0.1755 0.8245 0.0138
0.3245 0.6755 0.5138
0.6755 0.3245 0.4862
0.8245 0.1755 0.9862
```

Computed properties:
Total moment   0.000 μB per formula unit
Theoretical density   7.8 g/cm3
SG   Cmce, No. 64
Distance to the lowest polymorph of the same formula   98 meV per atom

No. 5
A plane-wave DFT calculation with GGA-PBE was carried out for an optimized crystal structure of ZrTl3Cd2Se6.

POSCAR file:
```
ZrTl3Cd2Se6
1.0
3.5569 -6.1972 0.0000
3.5569 6.1972 0.0000
-2.4121 0.0000 7.3850
Zr Tl Cd Se
1 3 2 6
direct
0.0000 0.0000 0.0000
0.1679 0.8321 0.5000
0.5000 0.5000 0.5000
0.8321 0.1679 0.5000
0.3349 0.6651 0.0000
0.6651 0.3349 0.0000
0.0702 0.3881 0.2057
0.2460 0.2460 0.7886
0.3881 0.0702 0.2057
0.6119 0.9298 0.7943
0.7540 0.7540 0.2114
0.9298 0.6119 0.7943
```

Computed properties:
Total moment   0.000 μB per formula unit
Theoretical density   7.2 g/cm3
SG   C2/m, No. 12
Uncorrected energy   -45.97 eV/cell

No. 6
A plane-wave DFT calculation with GGA-PBE was carried out for an optimized crystal structure of GeOs.

POSCAR file:
```
GeOs
1.0
8.4566 0.0000 0.0000
0.0000 8.4566 0.0000
0.0000 0.0000 4.1308
Ge Os
8 8
direct
0.0049 0.7872 0.0000
0.2128 0.0049 0.0000
0.2841 0.3114 0.5000
0.3114 0.7159 0.5000
0.6886 0.2841 0.5000
0.7159 0.6886 0.5000
0.7872 0.9951 0.0000
0.9951 0.2128 0.0000
0.0242 0.6418 0.5000
0.1591 0.4731 0.0000
0.3582 0.0242 0.5000
0.4731 0.8409 0.0000
0.5269 0.1591 0.0000
0.6418 0.9758 0.5000
0.8409 0.5269 0.0000
0.9758 0.3582 0.5000
```

Computed properties:
Total moment   0.000 μB per formula unit
Theoretical density   11.8 g/cm3
SG   P4/m, No. 83
Calculated formation energy   509 meV/atom